This record from the Alexandria database describes an optimized crystal structure of Pr6Er5Cd. The functional is PBE.

```
Pr6Er5Cd
1.0
4.951 -0.002 -1.386
-3.526 8.276 -3.084
-0.003 0.027 9.509
Er Pr Cd
5 6 1
direct
0.500 0.828 0.172
0.500 0.172 0.828
0.000 0.663 0.337
0.500 0.500 0.500
0.000 0.337 0.663
0.257 0.757 0.757
0.755 0.589 0.922
0.245 0.411 0.078
0.755 0.922 0.589
0.743 0.243 0.243
0.245 0.078 0.411
0.000 0.000 0.000
```

Total moment = 0.000 μB per atom
DFT formation energy = -0.01 eV per atom
Calculated volume = 32.51 Å³/atom

***

This record from the Alexandria database describes an optimized crystal structure of Mn4CoRe. The functional is PBE.

```
Mn4CoRe
1.0
0.000 3.263 3.263
3.263 0.000 3.263
3.263 3.263 0.000
Mn Re Co
4 1 1
direct
0.627 0.627 0.627
0.120 0.627 0.627
0.627 0.120 0.627
0.627 0.627 0.120
0.250 0.250 0.250
0.000 0.000 0.000
```

Total moment = 0.364 μB per atom
DFT formation energy = 0.07 eV per atom
Calculated volume = 11.58 Å³/atom

***

This record from the Alexandria database describes an optimized crystal structure of Li2GaTc. The functional is PBE.

```
Li2GaTc
1.0
6.875 0.000 0.000
0.000 6.875 0.000
3.437 3.437 2.494
Li Tc Ga
4 2 2
direct
0.875 0.863 0.750
0.613 0.125 0.250
0.375 0.387 0.750
0.137 0.625 0.250
0.750 0.250 0.500
0.000 0.000 0.000
0.500 0.500 0.000
0.250 0.750 0.500
```

Total moment = 0.000 μB per atom
DFT formation energy = 0.41 eV per atom
Calculated volume = 14.73 Å³/atom